This record from the Alexandria database describes a geometry-optimized Tb2PrY2Ho2 structure. The functional is GGA-PBE.

Values from the calculation:
Crystal system ... trigonal
ΔE_f ... 0.137 eV per atom
Total magnetic moment ... 0.960 μB per cell
Space group ... R-3m
Fermi-level density of states ... 17.16 states/eV per cell

Lattice parameters (Å, degrees): 8.8057 8.8057 8.8057 37.75 37.75 37.75
Closest atoms and distances in Å follow each position.
Positions (direct):
1 Tb 0.2210 0.2210 0.2210  1 Y 3.39, 4 Ho 3.43-3.62, 3 Pr 3.55
2 Tb 0.7790 0.7790 0.7790  1 Y 3.39, 4 Ho 3.43-3.62, 3 Pr 3.55
3 Pr 0.5000 0.5000 0.5000  2 Y 3.45, 6 Tb 3.55
4 Y 0.3593 0.3593 0.3593  1 Tb 3.39, 1 Pr 3.45, 3 Ho 3.49, 3 Y 3.53
5 Y 0.6407 0.6407 0.6407  1 Tb 3.39, 1 Pr 3.45, 3 Ho 3.49, 3 Y 3.53
6 Ho 0.0732 0.0732 0.0732  4 Tb 3.43-3.62, 3 Y 3.49, 1 Ho 3.59
7 Ho 0.9268 0.9268 0.9268  4 Tb 3.43-3.62, 3 Y 3.49, 1 Ho 3.59

---

This record from the Alexandria database describes a geometry-optimized Pm2PrHo7 structure. The functional is GGA-PBE.

Values from the calculation:
Crystal system ... orthorhombic
ΔE_f ... 0.690 eV per atom
Total magnetic moment ... 0.000 μB per cell
Space group ... Cmmm
Excess energy over the best structure of this formula in the dataset ... 672 meV/atom
Fermi-level density of states ... 14.48 states/eV per cell

Lattice parameters (Å, degrees): 9.7954 9.7954 5.1155 90.00 90.00 128.04
Closest atoms and distances in Å follow each position.
Positions (direct):
1 Pm 0.2013 0.7987 0.0000  4 Ho 3.13-3.19
2 Pm 0.7987 0.2013 0.0000  4 Ho 3.13-3.19
3 Pr 0.5000 0.5000 0.5000  10 Ho 3.46-3.55
4 Ho 0.0000 0.0000 0.0000  4 Ho 3.33, 2 Pm 3.55
5 Ho 0.2110 0.4268 0.0000  4 Ho 3.11-3.38, 1 Pm 3.19
6 Ho 0.3033 0.6967 0.5000  2 Pm 3.13, 4 Ho 3.38, 1 Pr 3.46
7 Ho 0.4268 0.2110 0.0000  4 Ho 3.11-3.38, 1 Pm 3.19
8 Ho 0.5732 0.7890 0.0000  4 Ho 3.11-3.38, 1 Pm 3.19
9 Ho 0.6967 0.3033 0.5000  2 Pm 3.13, 4 Ho 3.38, 1 Pr 3.46
10 Ho 0.7890 0.5732 0.0000  4 Ho 3.11-3.38, 1 Pm 3.19

---

This record from the Alexandria database describes a geometry-optimized TbPuAl2O8 structure. The functional is GGA-PBE.

Values from the calculation:
Crystal system ... tetragonal
Total magnetic moment ... 0.998 μB per cell
Space group ... I-4m2
ΔE_f (raw) ... -31.5 eV per formula unit
Fermi-level density of states ... 5.61 states/eV per cell

Lattice parameters (Å, degrees): 5.8365 5.8365 5.8365 107.68 107.68 113.11
Closest atoms and distances in Å follow each position.
Positions (direct):
1 Tb 0.0000 0.0000 0.0000  8 O 2.24-2.46
2 Pu 0.2500 0.7500 0.5000  8 O 2.14-2.32
3 Al 0.5000 0.5000 0.0000  4 O 1.78
4 Al 0.7500 0.2500 0.5000  4 O 1.75
5 O 0.3197 0.1234 0.8037  1 Al 1.78
6 O 0.3197 0.5160 0.1963  1 Al 1.78
7 O 0.3773 0.0556 0.3217  1 Al 1.75
8 O 0.4840 0.6803 0.8037  1 Al 1.78
9 O 0.7339 0.0556 0.6783  1 Al 1.75
10 O 0.8766 0.6803 0.1963  1 Al 1.78
11 O 0.9444 0.2661 0.3217  1 Al 1.75
12 O 0.9444 0.6227 0.6783  1 Al 1.75

---

This record from the Alexandria database describes a geometry-optimized NdHo6Cd2 structure. The functional is GGA-PBE.

Values from the calculation:
Crystal system ... monoclinic
ΔE_f ... -0.125 eV per atom
Total magnetic moment ... 0.000 μB per cell
Space group ... C2/m
Excess energy over the best structure of this formula in the dataset ... 0 meV/atom
Fermi-level density of states ... 9.87 states/eV per cell

Lattice parameters (Å, degrees): 6.5797 6.5797 11.8640 107.40 107.40 32.92
Closest atoms and distances in Å follow each position.
Positions (direct):
1 Nd 0.0000 0.0000 0.0000  4 Cd 3.26, 4 Ho 3.64
2 Ho 0.0142 0.0142 0.3424  2 Cd 3.19, 6 Ho 3.49-3.53
3 Ho 0.3128 0.3128 0.4178  2 Cd 3.21, 8 Ho 3.42-3.59
4 Ho 0.3153 0.3153 0.1246  2 Cd 3.24, 5 Ho 3.45-3.52
5 Ho 0.6847 0.6847 0.8754  2 Cd 3.24, 5 Ho 3.45-3.52
6 Ho 0.6872 0.6872 0.5822  2 Cd 3.21, 8 Ho 3.42-3.59
7 Ho 0.9858 0.9858 0.6576  2 Cd 3.19, 6 Ho 3.49-3.53
8 Cd 0.3501 0.3501 0.7829  6 Ho 3.19-3.24, 2 Nd 3.26
9 Cd 0.6499 0.6499 0.2171  6 Ho 3.19-3.24, 2 Nd 3.26

---

This record from the Alexandria database describes a geometry-optimized AcLa2Pt structure. The functional is GGA-PBE.

Values from the calculation:
Crystal system ... orthorhombic
ΔE_f ... -0.642 eV per atom
Total magnetic moment ... 0.000 μB per cell
Space group ... Pnma
Excess energy over the best structure of this formula in the dataset ... 0 meV/atom
Fermi-level density of states ... 20.17 states/eV per cell

Lattice parameters (Å, degrees): 7.5169 10.5096 6.8024 90.00 90.00 90.00
Closest atoms and distances in Å follow each position.
Positions (direct):
1 Ac 0.0289 0.2500 0.1474  2 Pt 3.11-3.20
2 Ac 0.4711 0.7500 0.6474  2 Pt 3.11-3.20
3 Ac 0.5289 0.2500 0.3526  2 Pt 3.11-3.20
4 Ac 0.9711 0.7500 0.8526  2 Pt 3.11-3.20
5 La 0.1747 0.0648 0.6701  2 Pt 2.98-2.99
6 La 0.1747 0.4352 0.6701  2 Pt 2.98-2.99
7 La 0.3253 0.5648 0.1701  2 Pt 2.98-2.99
8 La 0.3253 0.9352 0.1701  2 Pt 2.98-2.99
9 La 0.6747 0.0648 0.8299  2 Pt 2.98-2.99
10 La 0.6747 0.4352 0.8299  2 Pt 2.98-2.99
11 La 0.8253 0.5648 0.3299  2 Pt 2.98-2.99
12 La 0.8253 0.9352 0.3299  2 Pt 2.98-2.99
13 Pt 0.1175 0.7500 0.4104  4 La 2.98-2.99, 2 Ac 3.11-3.20
14 Pt 0.3825 0.2500 0.9104  4 La 2.98-2.99, 2 Ac 3.11-3.20
15 Pt 0.6175 0.7500 0.0896  4 La 2.98-2.99, 2 Ac 3.11-3.20
16 Pt 0.8825 0.2500 0.5896  4 La 2.98-2.99, 2 Ac 3.11-3.20

---

This record from the Alexandria database describes a geometry-optimized UFeCoIr structure. The functional is GGA-PBE.

Values from the calculation:
Crystal system ... orthorhombic
ΔE_f ... -0.353 eV per atom
Total magnetic moment ... 1.424 μB per cell
Space group ... Pmmm
Fermi-level density of states ... 2.94 states/eV per cell

Lattice parameters (Å, degrees): 3.8098 3.9267 3.9358 90.00 90.00 90.00
Closest atoms and distances in Å follow each position.
Positions (direct):
1 U 0.0000 0.0000 0.0000  4 Fe 2.74, 4 Co 2.74, 4 Ir 2.78
2 Fe 0.5000 0.5000 0.0000  4 U 2.74, 4 Ir 2.74, 4 Co 2.78
3 Co 0.5000 0.0000 0.5000  4 Ir 2.74, 4 U 2.74, 4 Fe 2.78
4 Ir 0.0000 0.5000 0.5000  4 Co 2.74, 4 Fe 2.74, 4 U 2.78

---

This record from the Alexandria database describes a geometry-optimized KNdCl4 structure. The functional is GGA-PBE.

Values from the calculation:
Crystal system ... monoclinic
Total magnetic moment ... 0.000 μB per cell
Space group ... C2/c
ΔE_f (raw) ... -12.8 eV per formula unit
Excess energy over the best structure of this formula in the dataset ... 61 meV/atom
Fermi-level density of states ... 0.00 states/eV per cell

Lattice parameters (Å, degrees): 8.2393 8.2393 7.1009 108.77 108.77 109.33
Closest atoms and distances in Å follow each position.
Positions (direct):
1 K 0.1392 0.8608 0.7500  8 Cl 3.25-3.36
2 K 0.8608 0.1392 0.2500  8 Cl 3.25-3.36
3 Nd 0.4909 0.5091 0.2500  8 Cl 2.86-2.92
4 Nd 0.5091 0.4909 0.7500  8 Cl 2.86-2.92
5 Cl 0.1713 0.2892 0.7901  2 Nd 2.89, 1 Cl 3.21
6 Cl 0.2392 0.5557 0.4377  2 Nd 2.86-2.92
7 Cl 0.2892 0.1713 0.2901  2 Nd 2.89, 1 Cl 3.21
8 Cl 0.4443 0.7608 0.0623  2 Nd 2.86-2.92
9 Cl 0.5557 0.2392 0.9377  2 Nd 2.86-2.92
10 Cl 0.7108 0.8287 0.7099  2 Nd 2.89, 1 Cl 3.21
11 Cl 0.7608 0.4443 0.5623  2 Nd 2.86-2.92
12 Cl 0.8287 0.7108 0.2099  2 Nd 2.89, 1 Cl 3.21

---

This record from the Alexandria database describes a geometry-optimized LiPm4Tm3S8 structure. The functional is GGA-PBE.

Values from the calculation:
Crystal system ... trigonal
Total magnetic moment ... 0.000 μB per cell
Space group ... R-3m
ΔE_f (raw) ... -31.3 eV per formula unit
Fermi-level density of states ... 7.67 states/eV per cell

Lattice parameters (Å, degrees): 7.9149 7.9149 7.9149 59.15 59.15 59.15
Closest atoms and distances in Å follow each position.
Positions (direct):
1 Li 0.0000 0.0000 0.0000  6 S 2.69
2 Pm 0.0000 0.0000 0.5000  6 S 2.85
3 Pm 0.0000 0.5000 0.0000  6 S 2.85
4 Pm 0.5000 0.0000 0.0000  6 S 2.85
5 Pm 0.5000 0.5000 0.5000  6 S 2.88
6 Tm 0.0000 0.5000 0.5000  6 S 2.71
7 Tm 0.5000 0.0000 0.5000  6 S 2.71
8 Tm 0.5000 0.5000 0.0000  6 S 2.71
9 S 0.2415 0.2415 0.7466  1 Li 2.69, 2 Tm 2.71, 3 Pm 2.85-2.88
10 S 0.2415 0.7466 0.2415  1 Li 2.69, 2 Tm 2.71, 3 Pm 2.85-2.88
11 S 0.2534 0.7585 0.7585  1 Li 2.69, 2 Tm 2.71, 3 Pm 2.85-2.88
12 S 0.2559 0.2559 0.2559  3 Tm 2.71, 3 Pm 2.85
13 S 0.7441 0.7441 0.7441  3 Tm 2.71, 3 Pm 2.85
14 S 0.7466 0.2415 0.2415  1 Li 2.69, 2 Tm 2.71, 3 Pm 2.85-2.88
15 S 0.7585 0.2534 0.7585  1 Li 2.69, 2 Tm 2.71, 3 Pm 2.85-2.88
16 S 0.7585 0.7585 0.2534  1 Li 2.69, 2 Tm 2.71, 3 Pm 2.85-2.88

---

This record from the Alexandria database describes a geometry-optimized AlSi2Ni structure. The functional is GGA-PBE.

Values from the calculation:
Crystal system ... tetragonal
Total magnetic moment ... 0.000 μB per cell
Space group ... P4mm
ΔE_f (raw) ... -0.4 eV per formula unit
Fermi-level density of states ... 1.15 states/eV per cell

Lattice parameters (Å, degrees): 2.7297 2.7297 7.1200 90.00 90.00 90.00
Closest atoms and distances in Å follow each position.
Positions (direct):
1 Al 0.0000 0.0000 0.0000  4 Ni 2.54, 4 Al 2.73, 4 Si 2.79
2 Si 0.0000 0.0000 0.4370  4 Ni 2.42
3 Si 0.5000 0.5000 0.7166  8 Si 2.73-2.77, 4 Al 2.79
4 Ni 0.5000 0.5000 0.2320  4 Si 2.42, 4 Al 2.54

---

This record from the Alexandria database describes a geometry-optimized NaSn3Ge structure. The functional is GGA-PBE.

Values from the calculation:
Crystal system ... cubic
ΔE_f ... 0.323 eV per atom
Total magnetic moment ... 0.000 μB per cell
Space group ... Pm-3m
Excess energy over the best structure of this formula in the dataset ... 259 meV/atom
Fermi-level density of states ... 3.61 states/eV per cell

Lattice parameters (Å, degrees): 5.4572 5.4572 5.4572 90.00 90.00 90.00
Closest atoms and distances in Å follow each position.
Positions (direct):
1 Na 0.0000 0.0000 0.0000  12 Sn 3.86
2 Sn 0.0000 0.5000 0.5000  2 Ge 2.73
3 Sn 0.5000 0.0000 0.5000  2 Ge 2.73
4 Sn 0.5000 0.5000 0.0000  2 Ge 2.73
5 Ge 0.5000 0.5000 0.5000  6 Sn 2.73

---

This record from the Alexandria database describes a geometry-optimized Cr2CuBS structure. The functional is GGA-PBE.

Values from the calculation:
Crystal system ... tetragonal
Total magnetic moment ... 9.139 μB per cell
Space group ... P4/mmm
ΔE_f (raw) ... 8.1 eV per formula unit
Fermi-level density of states ... 3.53 states/eV per cell

Lattice parameters (Å, degrees): 4.8084 4.8084 4.1209 90.00 90.00 90.00
Closest atoms and distances in Å follow each position.
Positions (direct):
1 Cr 0.0000 0.5000 0.0000  2 Cu 2.40
2 Cr 0.5000 0.0000 0.0000  2 Cu 2.40
3 Cu 0.0000 0.0000 0.0000  2 S 2.06
4 B 0.5000 0.5000 0.5000  8 Cr 3.17, 4 S 3.40
5 S 0.0000 0.0000 0.5000  2 Cu 2.06

---

This record from the Alexandria database describes a geometry-optimized KZr2Te structure. The functional is GGA-PBE.

Values from the calculation:
Crystal system ... tetragonal
Total magnetic moment ... 0.000 μB per cell
Space group ... P4/mmm
ΔE_f (raw) ... 0.6 eV per formula unit
Fermi-level density of states ... 4.44 states/eV per cell

Lattice parameters (Å, degrees): 3.5165 3.5165 10.1001 90.00 90.00 90.00
Closest atoms and distances in Å follow each position.
Positions (direct):
1 K 0.0000 0.0000 0.0000  4 K 3.52
2 Zr 0.5000 0.5000 0.3384  4 Te 2.97, 1 Zr 3.26
3 Zr 0.5000 0.5000 0.6616  4 Te 2.97, 1 Zr 3.26
4 Te 0.0000 0.0000 0.5000  8 Zr 2.97

---

The highest total magnetic moment belongs to which entry?
Cr2CuBS

---

Which value of Fermi-level density of states does entry 6 give?
2.94 states/eV per cell